No. 1
# YMg2Cu

An optimized crystal structure of YMg2Cu (PBE-GGA, Alexandria via LeMat-Bulk).

The structure in CIF format:
```
data_YMg2Cu
_symmetry_space_group_name_H-M 'I -4 m 2'
_symmetry_Int_Tables_number 119
_symmetry_space_group_name_Hall 'I -4 -2'
_cell_length_a 4.887
_cell_length_b 4.887
_cell_length_c 7.019
_cell_angle_alpha 90.00
_cell_angle_beta 90.00
_cell_angle_gamma 90.00
loop_
_atom_site_label
_atom_site_type_symbol
_atom_site_fract_x
_atom_site_fract_y
_atom_site_fract_z
Y1 Y 0.000 0.000 0.000
Mg1 Mg 0.000 0.000 0.500
Mg2 Mg 0.000 0.500 0.750
Cu1 Cu 0.000 0.500 0.250
```

Properties
- Calculated volume: 20.96 Å³ per atom
- ΔE_f: -0.100 eV/atom
- Raw total energy: -0.1300 hartree per atom
- N(E_F): 5.43 states/eV/cell

No. 2
# Sr2Ge2Br

An optimized crystal structure of Sr2Ge2Br (PBE-GGA, Alexandria via LeMat-Bulk).

The structure in CIF format:
```
data_Sr2Ge2Br
_symmetry_space_group_name_H-M 'P 4/m b m'
_symmetry_Int_Tables_number 127
_symmetry_space_group_name_Hall '-P 4 2ab'
_cell_length_a 8.501
_cell_length_b 8.501
_cell_length_c 4.506
_cell_angle_alpha 90.00
_cell_angle_beta 90.00
_cell_angle_gamma 90.00
loop_
_atom_site_label
_atom_site_type_symbol
_atom_site_fract_x
_atom_site_fract_y
_atom_site_fract_z
Sr1 Sr 0.186 0.314 0.000
Ge1 Ge 0.097 0.597 0.500
Br1 Br 0.000 0.000 0.000
```

Properties
- Calculated volume: 32.56 Å³ per atom
- Raw total energy: -0.1374 hartree per atom
- E above lowest polymorph: 79 meV per atom
- N(E_F): 1.92 states/eV/cell
- E_form (uncorrected): -0.88 eV/atom

No. 3
# Sc2CoSi2

An optimized crystal structure of Sc2CoSi2 (PBE-GGA, Alexandria via LeMat-Bulk).

The structure in CIF format:
```
data_Sc2CoSi2
_symmetry_space_group_name_H-M 'I b a m'
_symmetry_Int_Tables_number 72
_symmetry_space_group_name_Hall '-I 2 2c'
_cell_length_a 5.509
_cell_length_b 11.217
_cell_length_c 5.350
_cell_angle_alpha 90.00
_cell_angle_beta 90.00
_cell_angle_gamma 90.00
loop_
_atom_site_label
_atom_site_type_symbol
_atom_site_fract_x
_atom_site_fract_y
_atom_site_fract_z
Sc1 Sc 0.236 0.170 0.000
Co1 Co 0.000 0.000 0.250
Si1 Si 0.193 0.423 0.000
```

Properties
- Calculated volume: 16.53 Å³ per atom
- Raw total energy: -0.2483 hartree per atom
- N(E_F): 11.99 states/eV/cell
- E_form (uncorrected): -0.63 eV/atom

No. 4
# LaReAu2

An optimized crystal structure of LaReAu2 (PBE-GGA, Alexandria via LeMat-Bulk).

The structure in CIF format:
```
data_LaReAu2
_symmetry_space_group_name_H-M 'I 4/m m m'
_symmetry_Int_Tables_number 139
_symmetry_space_group_name_Hall '-I 4 2'
_cell_length_a 4.353
_cell_length_b 4.353
_cell_length_c 8.768
_cell_angle_alpha 90.00
_cell_angle_beta 90.00
_cell_angle_gamma 90.00
loop_
_atom_site_label
_atom_site_type_symbol
_atom_site_fract_x
_atom_site_fract_y
_atom_site_fract_z
La1 La 0.000 0.000 0.000
Re1 Re 0.000 0.000 0.500
Au1 Au 0.000 0.500 0.250
```

Properties
- Calculated volume: 20.77 Å³ per atom
- ΔE_f: 0.225 eV/atom
- Raw total energy: -0.2116 hartree per atom
- E above lowest polymorph: 65 meV per atom
- N(E_F): 5.95 states/eV/cell

No. 5
# Cu2TcMo

An optimized crystal structure of Cu2TcMo (PBE-GGA, Alexandria via LeMat-Bulk).

The structure in CIF format:
```
data_Cu2TcMo
_symmetry_space_group_name_H-M 'P 1 m 1'
_symmetry_Int_Tables_number 6
_symmetry_space_group_name_Hall 'P -2y'
_cell_length_a 2.598
_cell_length_b 4.240
_cell_length_c 5.035
_cell_angle_alpha 90.00
_cell_angle_beta 97.43
_cell_angle_gamma 90.00
loop_
_atom_site_label
_atom_site_type_symbol
_atom_site_fract_x
_atom_site_fract_y
_atom_site_fract_z
Cu1 Cu 0.000 0.000 0.000
Cu2 Cu 0.063 0.500 0.239
Tc1 Tc 0.426 0.500 0.752
Mo1 Mo 0.631 0.000 0.489
```

Properties
- Calculated volume: 13.75 Å³ per atom
- ΔE_f: 0.165 eV/atom
- Raw total energy: -0.2639 hartree per atom
- E above lowest polymorph: 0 meV per atom
- N(E_F): 2.87 states/eV/cell

No. 6
# CsSe2BrN

An optimized crystal structure of CsSe2BrN (PBE-GGA, Alexandria via LeMat-Bulk).

The structure in CIF format:
```
data_CsSe2BrN
_symmetry_space_group_name_H-M 'P 4/m m m'
_symmetry_Int_Tables_number 123
_symmetry_space_group_name_Hall '-P 4 2'
_cell_length_a 6.460
_cell_length_b 6.460
_cell_length_c 3.620
_cell_angle_alpha 90.00
_cell_angle_beta 90.00
_cell_angle_gamma 90.00
loop_
_atom_site_label
_atom_site_type_symbol
_atom_site_fract_x
_atom_site_fract_y
_atom_site_fract_z
Cs1 Cs 0.000 0.000 0.000
Se1 Se 0.000 0.500 0.500
Br1 Br 0.500 0.500 0.500
N1 N 0.500 0.500 0.000
```

Properties
- Calculated volume: 30.21 Å³ per atom
- Raw total energy: -0.0972 hartree per atom
- E above lowest polymorph: 591 meV per atom
- N(E_F): 4.03 states/eV/cell
- E_form (uncorrected): 0.92 eV/atom